# 1
# NaAcP2S6

A relaxed structure of NaAcP2S6 (GGA-PBE, Alexandria via LeMat-Bulk).

Values from the calculation:
Its total energy is -144.49 eV/cell. The value obtained for the magnetic moment is 1.9 μB/f.u. As for the crystal system: trigonal. The uncorrected formation energy is -0.715 eV/atom.

Lattice parameters (Å, degrees): 6.5011 6.5011 22.6864 90.00 90.00 120.00
With the nearest neighbours (Å) after each atom.
Space group R-3 (No. 148, hexagonal axes)
Asymmetric unit:
1 Na 0.0000 0.0000 0.0000 (multiplicity 3)  6 S 2.91
2 Ac 0.0000 0.0000 0.5000 (multiplicity 3)  6 S 3.04
3 P 0.0000 0.0000 0.2661 (multiplicity 6)  3 S 2.04
4 S 0.0091 0.3872 0.4231 (multiplicity 18)  1 P 2.04

***

# 2
# SrHgPd

A relaxed structure of SrHgPd (GGA-PBE, Alexandria via LeMat-Bulk).

Values from the calculation:
Its total energy is -8.85 eV/cell. The value obtained for the magnetic moment is 0.0 μB/f.u. The calculation puts the formation energy at -0.5593 eV/atom. As for the crystal system: hexagonal.

Lattice parameters (Å, degrees): 4.7762 4.7762 4.0649 90.00 90.00 120.00
With the nearest neighbours (Å) after each atom.
Space group P-6m2 (No. 187)
Asymmetric unit:
1 Sr 0.0000 0.0000 0.0000 (multiplicity 1)  6 Hg 3.43, 6 Pd 3.43
2 Hg 0.6667 0.3333 0.5000 (multiplicity 1)  3 Pd 2.76
3 Pd 0.3333 0.6667 0.5000 (multiplicity 1)  3 Hg 2.76

***

# 3
# NaNpPb2

A relaxed structure of NaNpPb2 (GGA-PBE, Alexandria via LeMat-Bulk).

Values from the calculation:
Its total energy is -21.37 eV/cell. The value obtained for the magnetic moment is 4.2 μB/f.u. The calculation puts the formation energy at 0.0773 eV/atom. As for the crystal system: tetragonal. The polymorph energy (0 for the lowest one) is 0.035 eV per atom.

Lattice parameters (Å, degrees): 5.8811 5.8811 3.2342 90.00 90.00 90.00
With the nearest neighbours (Å) after each atom.
Space group P4/mmm (No. 123)
Asymmetric unit:
1 Na 0.0000 0.0000 0.0000 (multiplicity 1)  2 Na 3.23, 8 Pb 3.36
2 Np 0.5000 0.5000 0.0000 (multiplicity 1)  2 Np 3.23, 8 Pb 3.36
3 Pb 0.0000 0.5000 0.5000 (multiplicity 2)  2 Pb 3.23, 4 Na 3.36, 4 Np 3.36

***

# 4
# VHg

A relaxed structure of VHg (GGA-PBE, Alexandria via LeMat-Bulk).

Values from the calculation:
Its total energy is -67.50 eV/cell. The value obtained for the magnetic moment is 0.0 μB/f.u. The calculation puts the formation energy at 0.4912 eV/atom. As for the crystal system: tetragonal.

Lattice parameters (Å, degrees): 10.4655 10.4655 3.0787 90.00 90.00 90.00
With the nearest neighbours (Å) after each atom.
Space group I4/mmm (No. 139)
Asymmetric unit:
1 V 0.1919 0.1919 0.0000 (multiplicity 8)  2 V 2.31
2 Hg 0.0000 0.3022 0.5000 (multiplicity 8)  4 V 2.78, 2 Hg 3.08

***

# 5
# Ca3TbSe4

A relaxed structure of Ca3TbSe4 (GGA-PBE, Alexandria via LeMat-Bulk).

Values from the calculation:
Its total energy is -80.35 eV/cell. The value obtained for the magnetic moment is 0.0 μB/f.u. As for the crystal system: orthorhombic. The uncorrected formation energy is -1.950 eV/atom.

Lattice parameters (Å, degrees): 8.3664 11.8048 4.1617 90.00 90.00 90.00
With the nearest neighbours (Å) after each atom.
Space group Cmmm (No. 65)
Asymmetric unit:
1 Ca 0.0000 0.0000 0.0000 (multiplicity 2)  6 Se 2.97-2.98
2 Ca 0.2500 0.2500 0.5000 (multiplicity 4)  6 Se 2.95
3 Tb 0.0000 0.5000 0.0000 (multiplicity 2)  6 Se 2.92-2.93
4 Se 0.0000 0.2525 0.0000 (multiplicity 4)  1 Tb 2.92, 5 Ca 2.95-2.98
5 Se 0.2462 0.5000 0.5000 (multiplicity 4)  2 Tb 2.93, 4 Ca 2.95-2.97

***

# 6
# Cd2SbPt2

A relaxed structure of Cd2SbPt2 (GGA-PBE, Alexandria via LeMat-Bulk).

Values from the calculation:
Its total energy is -37.26 eV/cell. The value obtained for the magnetic moment is 0.0 μB/f.u. As for the crystal system: tetragonal. The uncorrected formation energy is -0.119 eV/atom. The polymorph energy (0 for the lowest one) is 0.102 eV per atom.

Lattice parameters (Å, degrees): 8.1781 8.1781 2.9744 90.00 90.00 90.00
With the nearest neighbours (Å) after each atom.
Space group P4/mbm (No. 127)
Asymmetric unit:
1 Cd 0.1282 0.3718 0.0000 (multiplicity 4)  6 Pt 2.78-2.87, 3 Cd 2.96-2.97
2 Sb 0.0000 0.0000 0.0000 (multiplicity 2)  2 Sb 2.97, 4 Cd 3.22
3 Pt 0.1687 0.6687 0.5000 (multiplicity 4)  6 Cd 2.78-2.87, 2 Pt 2.97